<P>
An optimized crystal structure of Ti6GaBi, computed with PBE.

a = 4.7316 Å, b = 5.7229 Å, c = 5.7229 Å
α = 114.04°, β = 90.00°, γ = 90.00°
Last column: nearest neighbours and their distance in Å.
Fractional positions:
Bi  0.0000  0.0757  0.9243  12 Ti 2.83-3.15
Ti  0.5000  0.3941  0.0757  6 Ti 2.66-2.95, 2 Ga 2.81-2.92, 2 Bi 2.90
Ti  0.5000  0.9243  0.6059  6 Ti 2.66-2.95, 2 Ga 2.81-2.92, 2 Bi 2.90
Ti  0.0000  0.1214  0.4357  7 Ti 2.75-3.01, 2 Bi 2.83-2.91, 2 Ga 2.84
Ti  0.5000  0.8762  0.1238  6 Ti 2.66-2.95
Ti  0.0000  0.6212  0.3788  8 Ti 2.75-3.01, 2 Ga 3.04
Ti  0.0000  0.5643  0.8786  7 Ti 2.75-3.01, 2 Bi 2.83-2.91, 2 Ga 2.84
Ga  0.5000  0.4224  0.5776  12 Ti 2.81-3.15

Calculated values
Its total magnetization is 0.000 Bohr magnetons per cell. As for the space group: Amm2, No. 38. The density of states at the Fermi level comes out at 8.19 states/eV/cell.

***

<Q>
An optimized crystal structure of Ti6GaBi, computed with PBE.

a = 4.8607 Å, b = 4.8607 Å, c = 7.4648 Å
α = 77.97°, β = 77.97°, γ = 67.76°
Last column: nearest neighbours and their distance in Å.
Fractional positions:
Ti  0.4533  0.9467  0.7168  4 Ti 2.67-2.86, 1 Ga 2.69, 2 Bi 2.89-2.90
Ti  0.3723  0.3723  0.9341  3 Ti 2.50-2.75
Ti  0.5467  0.0533  0.2832  4 Ti 2.67-2.86, 1 Ga 2.69, 2 Bi 2.89-2.90
Ti  0.9467  0.4533  0.7168  4 Ti 2.67-2.86, 1 Ga 2.69, 2 Bi 2.89-2.90
Ti  0.6277  0.6277  0.0659  3 Ti 2.50-2.75
Ti  0.0533  0.5467  0.2832  4 Ti 2.67-2.86, 1 Ga 2.69, 2 Bi 2.89-2.90
Ga  0.0000  0.0000  0.0000  10 Ti 2.69-2.98
Bi  0.5000  0.5000  0.5000  10 Ti 2.89-3.14

Calculated values
Its total magnetization is 0.000 Bohr magnetons per cell. As for the space group: C2/m, No. 12. The density of states at the Fermi level comes out at 9.81 states/eV/cell.

***

Which structure is most stable? <P>, by 356 meV per atom over the runner-up.

***

<P>
An optimized crystal structure of TiGa2Bi, computed with PBE.

a = 7.8339 Å, b = 7.8339 Å, c = 6.2325 Å
α = 51.06°, β = 51.06°, γ = 90.00°
Last column: nearest neighbours and their distance in Å.
Fractional positions:
Bi  0.7500  0.2500  0.5000  2 Ti 2.86, 4 Ga 2.99
Bi  0.0000  0.0000  0.0000  2 Ti 2.86, 4 Ga 2.99
Ti  0.5000  0.5000  0.0000  4 Ga 2.73, 2 Bi 2.86
Ti  0.2500  0.7500  0.5000  4 Ga 2.73, 2 Bi 2.86
Ga  0.6010  0.1250  0.2500  2 Ti 2.73, 2 Ga 2.88, 2 Bi 2.99
Ga  0.1490  0.6250  0.2500  2 Ti 2.73, 2 Ga 2.88, 2 Bi 2.99
Ga  0.8750  0.8510  0.7500  2 Ti 2.73, 2 Ga 2.88, 2 Bi 2.99
Ga  0.3750  0.3990  0.7500  2 Ti 2.73, 2 Ga 2.88, 2 Bi 2.99

Calculated values
Its total magnetization is 0.000 Bohr magnetons per cell. As for the space group: I-42d, No. 122. The density of states at the Fermi level comes out at 8.66 states/eV/cell.

***

<Q>
An optimized crystal structure of TiGa2Bi, computed with PBE.

a = 4.9575 Å, b = 4.9575 Å, c = 4.9575 Å
α = 60.00°, β = 60.00°, γ = 60.00°
Last column: nearest neighbours and their distance in Å.
Fractional positions:
Ga  0.7500  0.7500  0.7500  4 Bi 3.04, 4 Ti 3.04
Ga  0.2500  0.2500  0.2500  4 Bi 3.04, 4 Ti 3.04
Ti  0.0000  0.0000  0.0000  8 Ga 3.04
Bi  0.5000  0.5000  0.5000  8 Ga 3.04

Calculated values
Its total magnetization is 0.000 Bohr magnetons per cell. As for the space group: Fm-3m, No. 225. The density of states at the Fermi level comes out at 5.83 states/eV/cell.

***

Which structure is most stable? <P>, by 107 meV per atom over the runner-up.

***

<P>
An optimized crystal structure of Ti2Ga2Bi, computed with PBE.

a = 7.1067 Å, b = 7.1067 Å, c = 3.8745 Å
α = 90.00°, β = 90.00°, γ = 90.00°
Last column: nearest neighbours and their distance in Å.
Fractional positions:
Bi  0.5000  0.5000  0.0000  4 Ti 2.73
Bi  0.0000  0.0000  0.0000  4 Ti 2.73
Ga  0.8498  0.3498  0.5000  6 Ti 2.84-2.85, 1 Ga 3.02
Ga  0.6502  0.8498  0.5000  6 Ti 2.84-2.85, 1 Ga 3.02
Ga  0.1502  0.6502  0.5000  6 Ti 2.84-2.85, 1 Ga 3.02
Ga  0.3498  0.1502  0.5000  6 Ti 2.84-2.85, 1 Ga 3.02
Ti  0.1438  0.3562  0.0000  2 Bi 2.73, 6 Ga 2.84-2.85, 1 Ti 2.89
Ti  0.3562  0.8562  0.0000  2 Bi 2.73, 6 Ga 2.84-2.85, 1 Ti 2.89
Ti  0.6438  0.1438  0.0000  2 Bi 2.73, 6 Ga 2.84-2.85, 1 Ti 2.89
Ti  0.8562  0.6438  0.0000  2 Bi 2.73, 6 Ga 2.84-2.85, 1 Ti 2.89

Calculated values
Its total magnetization is 0.000 Bohr magnetons per cell. As for the space group: P4/mbm, No. 127. The density of states at the Fermi level comes out at 6.03 states/eV/cell.

***

<Q>
An optimized crystal structure of Ti2Ga2Bi, computed with PBE.

a = 7.7979 Å, b = 7.7979 Å, c = 3.1766 Å
α = 90.00°, β = 90.00°, γ = 90.00°
Last column: nearest neighbours and their distance in Å.
Fractional positions:
Ti  0.6799  0.8201  0.5000  6 Ga 2.75-2.85
Ti  0.3201  0.1799  0.5000  6 Ga 2.75-2.85
Ti  0.1799  0.6799  0.5000  6 Ga 2.75-2.85
Ti  0.8201  0.3201  0.5000  6 Ga 2.75-2.85
Ga  0.1162  0.3838  0.0000  1 Ga 2.56, 6 Ti 2.75-2.85
Ga  0.8838  0.6162  0.0000  1 Ga 2.56, 6 Ti 2.75-2.85
Ga  0.3838  0.8838  0.0000  1 Ga 2.56, 6 Ti 2.75-2.85
Ga  0.6162  0.1162  0.0000  1 Ga 2.56, 6 Ti 2.75-2.85
Bi  0.5000  0.5000  0.0000  4 Ga 3.13, 2 Bi 3.18, 8 Ti 3.27
Bi  0.0000  0.0000  0.0000  4 Ga 3.13, 2 Bi 3.18, 8 Ti 3.27

Calculated values
Its total magnetization is 1.398 Bohr magnetons per cell. As for the space group: P4/mbm, No. 127. The density of states at the Fermi level comes out at 12.53 states/eV/cell.

***

Which structure is most stable? <P>, by 69 meV per atom over the runner-up.

***

<P>
An optimized crystal structure of TlGa2Bi, computed with PBE.

a = 3.6482 Å, b = 3.6482 Å, c = 7.8017 Å
α = 90.00°, β = 90.00°, γ = 90.00°
Last column: nearest neighbours and their distance in Å.
Fractional positions:
Ga  0.0000  0.0000  0.7409  4 Bi 3.19, 4 Tl 3.28
Ga  0.0000  0.0000  0.2591  4 Bi 3.19, 4 Tl 3.28
Bi  0.5000  0.5000  0.5000  8 Ga 3.19
Tl  0.5000  0.5000  0.0000  8 Ga 3.28, 4 Tl 3.65

Calculated values
Its total magnetization is 0.000 Bohr magnetons per cell. As for the space group: P4/mmm, No. 123. The density of states at the Fermi level comes out at 1.47 states/eV/cell.

***

<Q>
An optimized crystal structure of TlGa2Bi, computed with PBE.

a = 6.7038 Å, b = 6.7038 Å, c = 7.6734 Å
α = 64.10°, β = 64.10°, γ = 90.00°
Last column: nearest neighbours and their distance in Å.
Fractional positions:
Bi  0.7500  0.2500  0.5000  4 Ga 2.81
Bi  0.0000  0.0000  0.0000  4 Ga 2.81
Ga  0.1240  0.6250  0.2500  2 Bi 2.81, 2 Tl 2.81
Ga  0.3750  0.3740  0.7500  2 Bi 2.81, 2 Tl 2.81
Ga  0.6260  0.1250  0.2500  2 Bi 2.81, 2 Tl 2.81
Ga  0.8750  0.8760  0.7500  2 Bi 2.81, 2 Tl 2.81
Tl  0.2500  0.7500  0.5000  4 Ga 2.81
Tl  0.5000  0.5000  0.0000  4 Ga 2.81

Calculated values
Its total magnetization is 0.000 Bohr magnetons per cell. As for the space group: I-42d, No. 122. The density of states at the Fermi level comes out at 3.27 states/eV/cell.

***

Which structure is most stable? <P>, by 133 meV per atom over the runner-up.

***

<P>
An optimized crystal structure of TlGa2Bi, computed with PBE.

a = 4.5795 Å, b = 4.5795 Å, c = 6.8536 Å
α = 70.48°, β = 70.48°, γ = 60.00°
Last column: nearest neighbours and their distance in Å.
Fractional positions:
Bi  0.6728  0.6728  0.9815  6 Ga 2.98-3.10
Ga  0.0787  0.0787  0.7640  3 Bi 2.98, 3 Tl 3.07, 1 Ga 3.34
Ga  0.2546  0.2546  0.2362  3 Bi 3.10, 3 Tl 3.19, 1 Ga 3.34
Tl  0.4939  0.4939  0.5183  6 Ga 3.07-3.19, 1 Bi 3.39

Calculated values
Its total magnetization is 0.000 Bohr magnetons per cell. As for the space group: R3m, No. 160. The density of states at the Fermi level comes out at 1.61 states/eV/cell.

***

<Q>
An optimized crystal structure of TlGa2Bi, computed with PBE.

a = 5.2746 Å, b = 5.2746 Å, c = 5.2746 Å
α = 60.00°, β = 60.00°, γ = 60.00°
Last column: nearest neighbours and their distance in Å.
Fractional positions:
Ga  0.7500  0.7500  0.7500  4 Tl 3.23, 4 Bi 3.23
Ga  0.2500  0.2500  0.2500  4 Tl 3.23, 4 Bi 3.23
Tl  0.0000  0.0000  0.0000  8 Ga 3.23
Bi  0.5000  0.5000  0.5000  8 Ga 3.23

Calculated values
Its total magnetization is 0.000 Bohr magnetons per cell. As for the space group: Fm-3m, No. 225. The density of states at the Fermi level comes out at 1.81 states/eV/cell.

***

Which structure is most stable? <Q>, by 33 meV per atom over the runner-up.

***

<P>
An optimized crystal structure of TlGa2Bi, computed with PBE.

a = 4.4251 Å, b = 4.8544 Å, c = 4.8544 Å
α = 90.00°, β = 90.00°, γ = 90.00°
Last column: nearest neighbours and their distance in Å.
Fractional positions:
Ga  0.0000  0.5000  0.0000  4 Tl 3.28, 4 Bi 3.28, 4 Ga 3.43
Ga  0.0000  0.0000  0.5000  4 Tl 3.28, 4 Bi 3.28, 4 Ga 3.43
Bi  0.5000  0.5000  0.5000  8 Ga 3.28, 4 Tl 3.43
Tl  0.5000  0.0000  0.0000  8 Ga 3.28, 4 Bi 3.43

Calculated values
Its total magnetization is 0.000 Bohr magnetons per cell. As for the space group: P4/mmm, No. 123. The density of states at the Fermi level comes out at 1.65 states/eV/cell.

***

<Q>
An optimized crystal structure of TlGa2Bi, computed with PBE.

a = 4.5131 Å, b = 4.5474 Å, c = 10.3724 Å
α = 96.30°, β = 90.00°, γ = 90.00°
Last column: nearest neighbours and their distance in Å.
Fractional positions:
Ga  0.7500  0.8301  0.6492  4 Ga 2.72-2.77, 1 Bi 3.05
Ga  0.2500  0.7139  0.5006  6 Ga 2.72-2.98
Ga  0.7500  0.2861  0.4994  6 Ga 2.72-2.98
Ga  0.2500  0.1699  0.3508  4 Ga 2.72-2.77, 1 Bi 3.05
Tl  0.7500  0.7026  0.2562  8 Ga 3.18-3.53, 1 Bi 3.34
Tl  0.2500  0.2974  0.7438  8 Ga 3.18-3.53, 1 Bi 3.34
Bi  0.7500  0.7835  0.9399  1 Ga 3.05, 2 Bi 3.16, 1 Tl 3.34
Bi  0.2500  0.2165  0.0601  1 Ga 3.05, 2 Bi 3.16, 1 Tl 3.34

Calculated values
Its total magnetization is 0.000 Bohr magnetons per cell. As for the space group: P2_1/m, No. 11. The density of states at the Fermi level comes out at 2.77 states/eV/cell.

***

Which structure is most stable? <Q>, by 43 meV per atom over the runner-up.

***

<P>
An optimized crystal structure of TlGa2Bi2, computed with PBE.

a = 4.5393 Å, b = 4.5393 Å, c = 8.0209 Å
α = 73.56°, β = 73.56°, γ = 90.00°
Last column: nearest neighbours and their distance in Å.
Fractional positions:
Bi  0.3783  0.3783  0.2435  4 Ga 2.95
Bi  0.6217  0.6217  0.7565  4 Ga 2.95
Ga  0.7500  0.2500  0.5000  4 Bi 2.95, 4 Ga 3.21
Ga  0.2500  0.7500  0.5000  4 Bi 2.95, 4 Ga 3.21
Tl  0.0000  0.0000  0.0000  8 Bi 3.67

Calculated values
Its total magnetization is 0.000 Bohr magnetons per cell. As for the space group: I4/mmm, No. 139. The density of states at the Fermi level comes out at 2.21 states/eV/cell.

***

<Q>
An optimized crystal structure of TlGa2Bi2, computed with PBE.

a = 5.0898 Å, b = 5.0898 Å, c = 6.7378 Å
α = 67.81°, β = 67.81°, γ = 90.00°
Last column: nearest neighbours and their distance in Å.
Fractional positions:
Bi  0.2500  0.7500  0.5000  4 Ga 3.00
Bi  0.7500  0.2500  0.5000  4 Ga 3.00
Ga  0.6109  0.6109  0.7783  1 Ga 2.53
Ga  0.3891  0.3891  0.2217  1 Ga 2.53
Tl  0.0000  0.0000  0.0000  8 Ga 3.81, 8 Bi 3.82

Calculated values
Its total magnetization is 0.000 Bohr magnetons per cell. As for the space group: I4/mmm, No. 139. The density of states at the Fermi level comes out at 2.36 states/eV/cell.

***

<R>
An optimized crystal structure of TlGa2Bi2, computed with PBE.

a = 9.0572 Å, b = 9.0572 Å, c = 3.4428 Å
α = 90.00°, β = 90.00°, γ = 90.00°
Last column: nearest neighbours and their distance in Å.
Fractional positions:
Bi  0.3531  0.8531  0.0000  6 Ga 3.15-3.17, 2 Bi 3.44, 2 Tl 3.46
Bi  0.1469  0.3531  0.0000  6 Ga 3.15-3.17, 2 Bi 3.44, 2 Tl 3.46
Bi  0.8531  0.6469  0.0000  6 Ga 3.15-3.17, 2 Bi 3.44, 2 Tl 3.46
Bi  0.6469  0.1469  0.0000  6 Ga 3.15-3.17, 2 Bi 3.44, 2 Tl 3.46
Tl  0.5000  0.5000  0.0000  2 Tl 3.44, 4 Bi 3.46
Tl  0.0000  0.0000  0.0000  2 Tl 3.44, 4 Bi 3.46
Ga  0.6475  0.8525  0.5000  6 Bi 3.15-3.17, 2 Ga 3.44
Ga  0.1475  0.6475  0.5000  6 Bi 3.15-3.17, 2 Ga 3.44
Ga  0.8525  0.3525  0.5000  6 Bi 3.15-3.17, 2 Ga 3.44
Ga  0.3525  0.1475  0.5000  6 Bi 3.15-3.17, 2 Ga 3.44

Calculated values
Its total magnetization is 0.000 Bohr magnetons per cell. As for the space group: P4/mbm, No. 127. The density of states at the Fermi level comes out at 4.19 states/eV/cell.

***

Which structure is most stable? <P>, by 26 meV per atom over the runner-up.

***

<P>
An optimized crystal structure of TlGa2Bi2, computed with PBE.

a = 8.3970 Å, b = 8.3970 Å, c = 3.8919 Å
α = 90.00°, β = 90.00°, γ = 90.00°
Last column: nearest neighbours and their distance in Å.
Fractional positions:
Ga  0.6304  0.1304  0.0000  1 Ga 3.10, 6 Bi 3.11-3.19, 2 Tl 3.29
Ga  0.8696  0.6304  0.0000  1 Ga 3.10, 6 Bi 3.11-3.19, 2 Tl 3.29
Ga  0.3696  0.8696  0.0000  1 Ga 3.10, 6 Bi 3.11-3.19, 2 Tl 3.29
Ga  0.1304  0.3696  0.0000  1 Ga 3.10, 6 Bi 3.11-3.19, 2 Tl 3.29
Bi  0.3429  0.1571  0.5000  6 Ga 3.11-3.19
Bi  0.8429  0.3429  0.5000  6 Ga 3.11-3.19
Bi  0.1571  0.6571  0.5000  6 Ga 3.11-3.19
Bi  0.6571  0.8429  0.5000  6 Ga 3.11-3.19
Tl  0.5000  0.5000  0.0000  4 Ga 3.29
Tl  0.0000  0.0000  0.0000  4 Ga 3.29

Calculated values
Its total magnetization is 0.000 Bohr magnetons per cell. As for the space group: P4/mbm, No. 127. The density of states at the Fermi level comes out at 3.19 states/eV/cell.

***

<Q>
An optimized crystal structure of TlGa2Bi2, computed with PBE.

a = 3.3920 Å, b = 3.3919 Å, c = 13.2761 Å
α = 111.70°, β = 79.86°, γ = 104.01°
Last column: nearest neighbours and their distance in Å.
Fractional positions:
Ga  0.7573  0.3174  0.5747  3 Ga 2.80-2.95, 2 Bi 3.10
Ga  0.2427  0.6826  0.4253  3 Ga 2.80-2.95, 2 Bi 3.10
Bi  0.1596  0.1016  0.7612  3 Ga 3.10-3.40, 4 Bi 3.39
Bi  0.8404  0.8984  0.2388  3 Ga 3.10-3.40, 4 Bi 3.39
Tl  0.5000  0.0000  0.0000  4 Tl 3.39, 6 Bi 3.62-3.71

Calculated values
Its total magnetization is 0.000 Bohr magnetons per cell. As for the space group: C2/m, No. 12. The density of states at the Fermi level comes out at 2.13 states/eV/cell.

***

Which structure is most stable? <Q>, by 19 meV per atom over the runner-up.